No. 1
Computed, not measured: AcTl2Ni after structural relaxation at the PBE level of DFT.

abc: 3.606 3.606 7.757
angles: 90.00 90.00 90.00
Sites, in units of the cell vectors:
Ac 0.000 0.000 0.000
Tl 0.500 0.500 0.309
Tl 0.500 0.500 0.691
Ni 0.000 0.000 0.500

Values from the calculation:
- space-group type = P4/mmm (123)
- total DFT energy (no corrections) (eV/atom) = -3.61
- DFT formation energy (kJ per mole of atoms) = 4.7

---

No. 2
Computed, not measured: AcTl3Ni after structural relaxation at the PBE level of DFT.

abc: 5.175 5.175 5.175
angles: 90.00 90.00 90.00
Sites, in units of the cell vectors:
Ac 0.000 0.000 0.000
Tl 0.000 0.500 0.500
Tl 0.500 0.000 0.500
Tl 0.500 0.500 0.000
Ni 0.500 0.500 0.500

Values from the calculation:
- space-group type = Pm-3m (221)
- total DFT energy (no corrections) (eV/atom) = -3.46
- DFT formation energy (kJ per mole of atoms) = -6.1

---

No. 3
Computed, not measured: Ac6TlNi after structural relaxation at the PBE level of DFT.

abc: 8.442 11.235 7.024
angles: 90.00 103.71 90.00
Sites, in units of the cell vectors:
Ac 0.127 0.183 0.281
Ac 0.127 0.817 0.281
Ac 0.222 0.500 0.151
Ac 0.278 0.000 0.849
Ac 0.373 0.317 0.719
Ac 0.373 0.683 0.719
Ac 0.627 0.317 0.281
Ac 0.627 0.683 0.281
Ac 0.722 0.000 0.151
Ac 0.778 0.500 0.849
Ac 0.873 0.183 0.719
Ac 0.873 0.817 0.719
Tl 0.000 0.500 0.500
Tl 0.500 0.000 0.500
Ni 0.000 0.000 0.000
Ni 0.500 0.500 0.000

Values from the calculation:
- space-group type = C2/m (12)
- total DFT energy (no corrections) (eV/atom) = -4.13
- DFT formation energy (kJ per mole of atoms) = -3.3

---

No. 4
Computed, not measured: AcYTlNi after structural relaxation at the PBE level of DFT.

abc: 7.604 7.604 7.604
angles: 90.00 90.00 90.00
Sites, in units of the cell vectors:
Ac 0.000 0.000 0.000
Ac 0.000 0.500 0.500
Ac 0.500 0.000 0.500
Ac 0.500 0.500 0.000
Y 0.000 0.000 0.500
Y 0.000 0.500 0.000
Y 0.500 0.000 0.000
Y 0.500 0.500 0.500
Tl 0.250 0.250 0.250
Tl 0.250 0.750 0.750
Tl 0.750 0.250 0.750
Tl 0.750 0.750 0.250
Ni 0.250 0.250 0.750
Ni 0.250 0.750 0.250
Ni 0.750 0.250 0.250
Ni 0.750 0.750 0.750

Values from the calculation:
- space-group type = F-43m (216)
- total DFT energy (no corrections) (eV/atom) = -4.82
- DFT formation energy (kJ per mole of atoms) = -13.1

---

No. 5
Computed, not measured: AcTmNi2 after structural relaxation at the PBE level of DFT.

abc: 7.035 7.035 7.035
angles: 90.00 90.00 90.00
Sites, in units of the cell vectors:
Ac 0.000 0.000 0.000
Ac 0.000 0.500 0.500
Ac 0.500 0.000 0.500
Ac 0.500 0.500 0.000
Tm 0.000 0.000 0.500
Tm 0.000 0.500 0.000
Tm 0.500 0.000 0.000
Tm 0.500 0.500 0.500
Ni 0.250 0.250 0.250
Ni 0.250 0.250 0.750
Ni 0.250 0.750 0.250
Ni 0.250 0.750 0.750
Ni 0.750 0.250 0.250
Ni 0.750 0.250 0.750
Ni 0.750 0.750 0.250
Ni 0.750 0.750 0.750

Values from the calculation:
- space-group type = Fm-3m (225)
- total DFT energy (no corrections) (eV/atom) = -5.24
- DFT formation energy (kJ per mole of atoms) = -19.6

---

No. 6
Computed, not measured: AcTmNi10 after structural relaxation at the PBE level of DFT.

abc: 3.972 4.958 8.632
angles: 90.00 90.00 90.00
Sites, in units of the cell vectors:
Ac 0.000 0.000 0.000
Tm 0.000 0.500 0.500
Ni 0.000 0.000 0.343
Ni 0.000 0.000 0.657
Ni 0.000 0.500 0.180
Ni 0.000 0.500 0.820
Ni 0.500 0.000 0.500
Ni 0.500 0.255 0.261
Ni 0.500 0.255 0.739
Ni 0.500 0.500 0.000
Ni 0.500 0.745 0.261
Ni 0.500 0.745 0.739

Values from the calculation:
- space-group type = Pmmm (47)
- total DFT energy (no corrections) (eV/atom) = -5.80
- DFT formation energy (kJ per mole of atoms) = -26.0

---

No. 7
Computed, not measured: AcTmNi after structural relaxation at the PBE level of DFT.

abc: 3.561 3.561 12.777
angles: 90.00 90.00 90.00
Sites, in units of the cell vectors:
Ac 0.000 0.000 0.000
Ac 0.500 0.500 0.500
Tm 0.000 0.000 0.263
Tm 0.500 0.500 0.763
Ni 0.000 0.000 0.658
Ni 0.500 0.500 0.158

Values from the calculation:
- space-group type = I4mm (107)
- total DFT energy (no corrections) (eV/atom) = -4.93
- DFT formation energy (kJ per mole of atoms) = -13.4

---

No. 8
Computed, not measured: AcTmNi3 after structural relaxation at the PBE level of DFT.

abc: 12.359 12.359 4.067
angles: 90.00 90.00 161.10
Sites, in units of the cell vectors:
Ac 0.075 0.925 0.750
Ac 0.925 0.075 0.250
Tm 0.207 0.793 0.250
Tm 0.793 0.207 0.750
Ni 0.319 0.681 0.250
Ni 0.372 0.628 0.750
Ni 0.473 0.527 0.750
Ni 0.527 0.473 0.250
Ni 0.628 0.372 0.250
Ni 0.681 0.319 0.750

Values from the calculation:
- space-group type = Cmcm (63)
- total DFT energy (no corrections) (eV/atom) = -5.54
- DFT formation energy (kJ per mole of atoms) = -34.2

---

No. 9
Computed, not measured: AcTm2Ni9 after structural relaxation at the PBE level of DFT.

abc: 8.607 8.607 8.607
angles: 34.05 34.05 34.05
Sites, in units of the cell vectors:
Ac 0.000 0.000 0.000
Tm 0.141 0.141 0.141
Tm 0.859 0.859 0.859
Ni 0.083 0.586 0.586
Ni 0.333 0.333 0.333
Ni 0.414 0.414 0.917
Ni 0.414 0.917 0.414
Ni 0.500 0.500 0.500
Ni 0.586 0.083 0.586
Ni 0.586 0.586 0.083
Ni 0.667 0.667 0.667
Ni 0.917 0.414 0.414

Values from the calculation:
- space-group type = R-3m (166)
- total DFT energy (no corrections) (eV/atom) = -5.80
- DFT formation energy (kJ per mole of atoms) = -36.1

---

No. 10
Computed, not measured: AcTm2Ni after structural relaxation at the PBE level of DFT.

abc: 3.496 3.496 8.924
angles: 90.00 90.00 90.00
Sites, in units of the cell vectors:
Ac 0.000 0.000 0.000
Tm 0.500 0.500 0.325
Tm 0.500 0.500 0.675
Ni 0.000 0.000 0.500

Values from the calculation:
- space-group type = P4/mmm (123)
- total DFT energy (no corrections) (eV/atom) = -4.86
- DFT formation energy (kJ per mole of atoms) = -14.9

---

No. 11
Computed, not measured: Ac2TmNi after structural relaxation at the PBE level of DFT.

abc: 3.786 3.786 8.742
angles: 90.00 90.00 90.00
Sites, in units of the cell vectors:
Ac 0.000 0.000 0.201
Ac 0.000 0.000 0.799
Tm 0.500 0.500 0.500
Ni 0.500 0.500 0.000

Values from the calculation:
- space-group type = P4/mmm (123)
- total DFT energy (no corrections) (eV/atom) = -4.61
- DFT formation energy (kJ per mole of atoms) = 1.1

---

No. 12
Computed, not measured: AcTmNi after structural relaxation at the PBE level of DFT.

abc: 3.722 6.686 14.748
angles: 90.00 90.00 90.00
Sites, in units of the cell vectors:
Ac 0.000 0.000 0.136
Ac 0.000 0.000 0.864
Ac 0.500 0.500 0.364
Ac 0.500 0.500 0.636
Tm 0.000 0.000 0.389
Tm 0.000 0.000 0.611
Tm 0.500 0.500 0.111
Tm 0.500 0.500 0.889
Ni 0.000 0.318 0.000
Ni 0.000 0.682 0.000
Ni 0.500 0.182 0.500
Ni 0.500 0.818 0.500

Values from the calculation:
- space-group type = Immm (71)
- total DFT energy (no corrections) (eV/atom) = -4.83
- DFT formation energy (kJ per mole of atoms) = -4.4

---

No. 13
Computed, not measured: AcTmNi2 after structural relaxation at the PBE level of DFT.

abc: 4.554 4.554 15.332
angles: 90.00 90.00 120.00
Sites, in units of the cell vectors:
Ac 0.000 0.000 0.000
Ac 0.333 0.667 0.667
Ac 0.667 0.333 0.333
Tm 0.000 0.000 0.500
Tm 0.333 0.667 0.167
Tm 0.667 0.333 0.833
Ni 0.000 0.000 0.212
Ni 0.000 0.000 0.788
Ni 0.333 0.667 0.455
Ni 0.333 0.667 0.878
Ni 0.667 0.333 0.122
Ni 0.667 0.333 0.545

Values from the calculation:
- space-group type = R-3m (166)
- total DFT energy (no corrections) (eV/atom) = -5.31
- DFT formation energy (kJ per mole of atoms) = -26.3

---

No. 14
Computed, not measured: AcTm2Ni after structural relaxation at the PBE level of DFT.

abc: 3.798 3.798 31.040
angles: 90.00 90.00 120.00
Sites, in units of the cell vectors:
Ac 0.000 0.000 0.000
Ac 0.333 0.667 0.667
Ac 0.667 0.333 0.333
Tm 0.000 0.000 0.119
Tm 0.000 0.000 0.881
Tm 0.333 0.667 0.548
Tm 0.333 0.667 0.786
Tm 0.667 0.333 0.214
Tm 0.667 0.333 0.452
Ni 0.000 0.000 0.500
Ni 0.333 0.667 0.167
Ni 0.667 0.333 0.833

Values from the calculation:
- space-group type = R-3m (166)
- total DFT energy (no corrections) (eV/atom) = -4.69
- DFT formation energy (kJ per mole of atoms) = 1.5

---

No. 15
Computed, not measured: Ac2TmNi after structural relaxation at the PBE level of DFT.

abc: 3.739 3.739 33.737
angles: 90.00 90.00 120.00
Sites, in units of the cell vectors:
Ac 0.000 0.000 0.078
Ac 0.000 0.000 0.922
Ac 0.333 0.667 0.589
Ac 0.333 0.667 0.744
Ac 0.667 0.333 0.256
Ac 0.667 0.333 0.411
Tm 0.000 0.000 0.500
Tm 0.333 0.667 0.167
Tm 0.667 0.333 0.833
Ni 0.000 0.000 0.000
Ni 0.333 0.667 0.667
Ni 0.667 0.333 0.333

Values from the calculation:
- space-group type = R-3m (166)
- total DFT energy (no corrections) (eV/atom) = -4.10
- DFT formation energy (kJ per mole of atoms) = 49.5

---

No. 16
Computed, not measured: AcTmNi2 after structural relaxation at the PBE level of DFT.

abc: 3.521 3.521 6.930
angles: 90.00 90.00 90.00
Sites, in units of the cell vectors:
Ac 0.000 0.000 0.000
Tm 0.000 0.000 0.500
Ni 0.500 0.500 0.294
Ni 0.500 0.500 0.706

Values from the calculation:
- space-group type = P4/mmm (123)
- total DFT energy (no corrections) (eV/atom) = -5.29
- DFT formation energy (kJ per mole of atoms) = -24.4

---

No. 17
Computed, not measured: AcUNi10 after structural relaxation at the PBE level of DFT.

abc: 4.009 4.936 8.569
angles: 90.00 90.00 90.00
Sites, in units of the cell vectors:
Ac 0.000 0.000 0.000
U 0.000 0.500 0.500
Ni 0.000 0.000 0.346
Ni 0.000 0.000 0.654
Ni 0.000 0.500 0.193
Ni 0.000 0.500 0.807
Ni 0.500 0.000 0.500
Ni 0.500 0.257 0.263
Ni 0.500 0.257 0.737
Ni 0.500 0.500 0.000
Ni 0.500 0.743 0.263
Ni 0.500 0.743 0.737

Values from the calculation:
- space-group type = Pmmm (47)
- total DFT energy (no corrections) (eV/atom) = -6.32
- DFT formation energy (kJ per mole of atoms) = -21.3

---

No. 18
Computed, not measured: AcVNi2 after structural relaxation at the PBE level of DFT.

abc: 4.152 4.152 15.919
angles: 90.00 90.00 120.00
Sites, in units of the cell vectors:
Ac 0.000 0.000 0.000
Ac 0.333 0.667 0.667
Ac 0.667 0.333 0.333
V 0.000 0.000 0.500
V 0.333 0.667 0.167
V 0.667 0.333 0.833
Ni 0.000 0.000 0.193
Ni 0.000 0.000 0.807
Ni 0.333 0.667 0.474
Ni 0.333 0.667 0.860
Ni 0.667 0.333 0.140
Ni 0.667 0.333 0.526

Values from the calculation:
- space-group type = R-3m (166)
- total DFT energy (no corrections) (eV/atom) = -6.33
- DFT formation energy (kJ per mole of atoms) = -12.3

---

No. 19
Computed, not measured: AcYNi2 after structural relaxation at the PBE level of DFT.

abc: 3.911 4.303 5.767
angles: 90.00 109.74 90.00
Sites, in units of the cell vectors:
Ac 0.000 0.000 0.000
Y 0.274 0.500 0.547
Ni 0.579 0.500 0.158
Ni 0.717 0.000 0.434

Values from the calculation:
- space-group type = Pm (6)
- total DFT energy (no corrections) (eV/atom) = -5.85
- DFT formation energy (kJ per mole of atoms) = -30.1

---

No. 20
Computed, not measured: AcYNi2 after structural relaxation at the PBE level of DFT.

abc: 4.636 4.636 15.122
angles: 90.00 90.00 120.00
Sites, in units of the cell vectors:
Ac 0.000 0.000 0.000
Ac 0.333 0.667 0.667
Ac 0.667 0.333 0.333
Y 0.000 0.000 0.500
Y 0.333 0.667 0.167
Y 0.667 0.333 0.833
Ni 0.000 0.000 0.214
Ni 0.000 0.000 0.786
Ni 0.333 0.667 0.453
Ni 0.333 0.667 0.880
Ni 0.667 0.333 0.120
Ni 0.667 0.333 0.547

Values from the calculation:
- space-group type = R-3m (166)
- total DFT energy (no corrections) (eV/atom) = -5.76
- DFT formation energy (kJ per mole of atoms) = -21.3